Entry from Alexandria via LeMat-Bulk: Ca3MgP after structural relaxation (PBE-GGA).

```
10
Lattice="3.205 -8.842 0.000 3.205 8.842 0.000 0.000 0.000 6.122" Properties=species:S:1:pos:R:3 pbc="T T T"
Ca 0.000 0.000 0.000
Ca 0.000 0.000 3.061
Ca 1.650 2.793 4.592
Ca 1.650 -2.793 1.531
Ca 4.760 2.793 4.592
Ca 4.760 -2.793 1.531
Mg 3.205 5.813 4.592
Mg 3.205 -5.813 1.531
P 3.205 0.285 4.592
P 3.205 -0.285 1.531
```

Offset from the most stable computed form in meV/atom: 768
Total magnetic moment in μB/cell: 0.00
ΔH_f (0 K) in eV per atom: 0.201

Entry from Alexandria via LeMat-Bulk: BaInCuAu6 after structural relaxation (PBE-GGA).

```
18
Lattice="-3.505 4.392 7.603 3.505 -4.392 7.603 3.505 4.392 -7.603" Properties=species:S:1:pos:R:3 pbc="T T T"
Ba 0.000 2.196 1.292
Ba 3.505 2.196 6.311
In 3.505 0.000 0.000
In 0.000 0.000 7.603
Cu 1.752 2.196 -3.802
Cu 1.752 -2.196 3.802
Au 3.505 -2.196 5.628
Au 2.021 -0.156 2.349
Au 4.988 -0.156 2.349
Au 2.021 4.237 -2.349
Au 1.484 -0.156 5.254
Au 3.505 2.196 1.942
Au 0.000 2.196 5.661
Au 2.021 4.548 2.349
Au 1.484 0.156 9.952
Au -1.484 4.548 5.254
Au 1.484 4.548 5.254
Au 0.000 6.588 1.975
```

Total magnetic moment in μB/cell: 0.00
ΔH_f (0 K) in eV per atom: -0.126

Entry from Alexandria via LeMat-Bulk: K2YTc after structural relaxation (PBE-GGA).

```
4
Lattice="4.407 0.000 0.000 0.000 4.407 0.000 0.000 0.000 6.461" Properties=species:S:1:pos:R:3 pbc="T T T"
K 0.000 2.203 0.000
K 2.203 0.000 0.000
Y 0.000 0.000 3.231
Tc 2.203 2.203 3.231
```

Offset from the most stable computed form in meV/atom: 437
Total magnetic moment in μB/cell: 2.25
ΔH_f (0 K) in eV per atom: 1.040

Entry from Alexandria via LeMat-Bulk: KLiPb11 after structural relaxation (PBE-GGA).

```
13
Lattice="3.204 -7.939 0.000 3.204 7.939 0.000 -2.850 0.000 8.294" Properties=species:S:1:pos:R:3 pbc="T T T"
K 0.000 0.000 0.000
Li 1.779 0.000 4.147
Pb -1.425 0.000 4.147
Pb 0.112 2.796 2.964
Pb 1.602 3.969 0.000
Pb 3.447 -2.796 5.330
Pb 0.350 1.699 6.405
Pb 0.112 -2.796 2.964
Pb 3.209 1.699 1.888
Pb 1.602 -3.969 0.000
Pb 0.350 -1.699 6.405
Pb 3.447 2.796 5.330
Pb 3.209 -1.699 1.888
```

Total magnetic moment in μB/cell: 0.00
ΔH_f (0 K) in eV per atom: -0.059

Entry from Alexandria via LeMat-Bulk: NpMnH4 after structural relaxation (PBE-GGA).

```
12
Lattice="1.818 -5.898 0.000 1.818 5.898 0.000 0.000 0.000 4.654" Properties=species:S:1:pos:R:3 pbc="T T T"
Np 1.818 4.364 3.490
Np 1.818 -4.364 1.163
Mn 1.818 1.211 3.490
Mn 1.818 -1.211 1.163
H 1.818 4.829 1.163
H 1.818 2.377 0.039
H 1.818 2.377 2.288
H 1.818 0.000 0.000
H 1.818 0.000 2.327
H 1.818 -2.377 2.366
H 1.818 -2.377 4.614
H 1.818 -4.829 3.490
```

Total magnetic moment in μB/cell: 4.25
Calculated total energy in eV per atom: -6.065

Entry from Alexandria via LeMat-Bulk: HfBeFe after structural relaxation (PBE-GGA).

```
3
Lattice="3.823 0.000 0.000 -1.912 3.311 0.000 0.000 0.000 3.209" Properties=species:S:1:pos:R:3 pbc="T T T"
Hf 0.000 0.000 0.000
Be 1.912 1.104 1.604
Fe 0.000 2.207 1.604
```

Offset from the most stable computed form in meV/atom: 104
Total magnetic moment in μB/cell: 0.00
ΔH_f (0 K) in eV per atom: -0.141

Entry from Alexandria via LeMat-Bulk: PuAlHPt2 after structural relaxation (PBE-GGA).

```
10
Lattice="1.968 -5.590 0.000 1.968 5.590 0.000 0.000 0.000 7.201" Properties=species:S:1:pos:R:3 pbc="T T T"
Pu 1.968 4.970 5.401
Pu 1.968 -4.970 1.800
Al 1.968 3.087 1.800
Al 1.968 -3.087 5.401
H 1.968 0.000 0.000
H 1.968 0.000 3.600
Pt 1.968 1.755 3.974
Pt 1.968 1.755 6.827
Pt 1.968 -1.755 0.374
Pt 1.968 -1.755 3.226
```

Total magnetic moment in μB/cell: 10.71
Calculated total energy in eV per atom: -7.442